Computed, not measured: Li2Cd2H after structural relaxation at the GGA-PBE level of DFT.

Geometry as POSCAR:
```
Li2Cd2H
1.0
3.8714 0.0000 0.0000
0.0000 3.8714 0.0000
1.9357 1.9357 7.8771
Li Cd H
2 2 1
direct
0.4052 0.4052 0.1896
0.5948 0.5948 0.8104
0.7500 0.2500 0.5000
0.2500 0.7500 0.5000
0.0000 0.0000 0.0000
```

Computed properties:
The value obtained for the uncorrected energy is -1.517 eV per atom. The density comes out at 3.4 g/cm³.


Computed, not measured: Li4CdH2 after structural relaxation at the GGA-PBE level of DFT.

Geometry as POSCAR:
```
Li4CdH2
1.0
5.2605 0.0000 0.0000
0.0000 5.2605 0.0000
2.6303 2.6303 5.1586
Li Cd H
4 1 2
direct
0.2589 0.2589 0.4823
0.5000 0.0000 0.0000
0.0000 0.5000 0.0000
0.7411 0.7411 0.5177
0.0000 0.0000 0.0000
0.4622 0.4622 0.0756
0.5378 0.5378 0.9244
```

Computed properties:
The value obtained for the uncorrected energy is -1.980 eV per atom. The density comes out at 1.7 g/cm³.


Computed, not measured: Li2Cd2H after structural relaxation at the GGA-PBE level of DFT.

Geometry as POSCAR:
```
Li2Cd2H
1.0
-3.6539 -4.2858 0.3710
4.1384 -3.3692 1.8382
-1.1432 1.4233 5.1826
H Cd Li
2 4 4
direct
0.5000 0.5000 0.0000
0.0000 0.0000 0.0000
0.6742 0.8258 0.5000
0.1742 0.6742 0.5000
0.8258 0.3258 0.5000
0.3258 0.1742 0.5000
0.1964 0.3036 0.0000
0.8036 0.6964 0.0000
0.3036 0.8036 0.0000
0.6964 0.1964 0.0000
```

Computed properties:
The value obtained for the uncorrected energy is -1.819 eV per atom. The density comes out at 4.5 g/cm³.


Computed, not measured: LiCd2H after structural relaxation at the GGA-PBE level of DFT.

Geometry as POSCAR:
```
LiCd2H
1.0
-1.8477 0.7715 4.0841
0.3126 4.1230 1.8955
-3.6989 2.6220 0.3642
H Li Cd
1 1 2
direct
0.0000 0.0000 0.0000
0.5000 0.5000 0.5000
0.2500 0.2500 0.2500
0.7500 0.7500 0.7500
```

Computed properties:
The value obtained for the uncorrected energy is -1.434 eV per atom. The density comes out at 5.8 g/cm³.


Computed, not measured: LiCdH after structural relaxation at the GGA-PBE level of DFT.

Geometry as POSCAR:
```
LiCdH
1.0
-2.0885 2.0650 -1.9030
-2.2262 -2.8722 -0.6738
-3.4130 1.4078 5.2819
Li Cd H
2 2 2
direct
0.3141 0.6355 0.1666
0.8141 0.1356 0.9944
0.8121 0.1292 0.4451
0.3129 0.6294 0.7159
0.8141 0.6358 0.0645
0.3142 0.1357 0.0959
```

Computed properties:
The value obtained for the uncorrected energy is -2.148 eV per atom. The density comes out at 4.8 g/cm³.


Computed, not measured: LiCd2H2 after structural relaxation at the GGA-PBE level of DFT.

Geometry as POSCAR:
```
LiCd2H2
1.0
3.1851 0.0000 0.0000
0.0000 3.1851 0.0000
1.5926 1.5926 6.9265
Li Cd H
1 2 2
direct
0.0000 0.0000 0.0000
0.6437 0.6437 0.7125
0.3563 0.3563 0.2875
0.2500 0.7500 0.5000
0.7500 0.2500 0.5000
```

Computed properties:
The value obtained for the uncorrected energy is -1.889 eV per atom. The density comes out at 5.5 g/cm³.


Computed, not measured: Li2CdH2 after structural relaxation at the GGA-PBE level of DFT.

Geometry as POSCAR:
```
Li2CdH2
1.0
-3.4791 -0.3062 0.5188
0.3080 -3.5174 -0.0106
-0.8500 -1.8623 5.2152
Cd H Li
1 2 2
direct
0.0000 0.0000 0.0000
0.7500 0.2500 0.5000
0.2500 0.7500 0.5000
0.3071 0.3071 0.3858
0.6929 0.6929 0.6142
```

Computed properties:
The value obtained for the uncorrected energy is -2.414 eV per atom. The density comes out at 3.4 g/cm³.


Computed, not measured: LiCdH3 after structural relaxation at the GGA-PBE level of DFT.

Geometry as POSCAR:
```
LiCdH3
1.0
-1.1072 -1.2523 -4.7769
3.6678 -1.5470 -3.1255
0.1091 -5.4264 -1.2837
Cd Li H
2 2 6
direct
0.6158 0.6159 0.1524
0.3842 0.3841 0.8476
0.1592 0.1592 0.5224
0.8408 0.8408 0.4776
0.7657 0.4350 0.7443
0.4350 0.0550 0.7443
0.2343 0.5650 0.2557
0.5650 0.9450 0.2557
0.0550 0.7657 0.7443
0.9450 0.2343 0.2557
```

Computed properties:
The value obtained for the uncorrected energy is -2.556 eV per atom. The density comes out at 3.9 g/cm³.